Entry from Alexandria: a relaxed LaBe crystal (GGA-PBEsol).

The excess energy over the best structure of this formula in the dataset is 0.51 eV per formula unit. For the total energy, the calculation gives -31.79 eV/cell. As for the theoretical density: 4.6 g cm⁻³. The value obtained for the formation enthalpy at 0 K is 0.700 eV/atom.

It has space group Fm-3m (No. 225), with a = 5.989 Å, b = 5.989 Å, c = 5.989 Å, α = 90.00°, β = 90.00° and γ = 90.00°. The asymmetric unit holds La at (0.000, 0.000, 0.000) and Be at (0.000, 0.000, 0.500).

---

Entry from Alexandria: a relaxed TlSb3S5 crystal (GGA-PBEsol).

The formation energy from raw total energies is -6.9 kcal/mol of atoms. For the total energy, the calculation gives -163.62 eV/cell. As for the theoretical density: 5.5 g cm⁻³.

It has space group P2_1/c (No. 14), with a = 6.967 Å, b = 15.546 Å, c = 8.806 Å, α = 90.00°, β = 112.62° and γ = 90.00°. The asymmetric unit holds Tl at (0.006, 0.233, 0.036), Sb at (0.003, 0.009, 0.277), Sb at (0.481, 0.596, 0.111), Sb at (0.494, 0.624, 0.578), S at (0.224, 0.628, 0.831), S at (0.230, 0.061, 0.608), S at (0.250, 0.049, 0.011), S at (0.280, 0.657, 0.264) and S at (0.313, 0.234, 0.381).

---

Entry from Alexandria: a relaxed CuSn2AsPb crystal (GGA-PBEsol).

For the total energy, the calculation gives -20.22 eV/cell. As for the theoretical density: 7.3 g cm⁻³. The value obtained for the formation enthalpy at 0 K is 0.348 eV/atom.

It has space group P4/mmm (No. 123), with a = 5.570 Å, b = 5.570 Å, c = 4.298 Å, α = 90.00°, β = 90.00° and γ = 90.00°. The asymmetric unit holds Cu at (0.000, 0.000, 0.000), Sn at (0.000, 0.500, 0.500), As at (0.000, 0.000, 0.500) and Pb at (0.500, 0.500, 0.000).

---

Entry from Alexandria: a relaxed CdSb6S8I4 crystal (GGA-PBEsol).

The formation energy from raw total energies is -8.0 kcal/mol of atoms. For the total energy, the calculation gives -77.25 eV/cell. As for the theoretical density: 5.1 g cm⁻³.

It has space group P-1 (No. 2), with a = 7.202 Å, b = 8.795 Å, c = 8.837 Å, α = 92.48°, β = 109.11° and γ = 94.56°. The asymmetric unit holds Cd at (0.000, 0.000, 0.000), Sb at (0.231, 0.292, 0.793), Sb at (0.244, 0.933, 0.445), Sb at (0.250, 0.637, 0.151), S at (0.088, 0.314, 0.025), S at (0.092, 0.004, 0.721), S at (0.095, 0.645, 0.388), S at (0.340, 0.928, 0.190), I at (0.351, 0.656, 0.840) and I at (0.356, 0.288, 0.468).

---

Entry from Alexandria: a relaxed ReAs2P crystal (GGA-PBEsol).

For the total energy, the calculation gives -55.91 eV/cell. As for the theoretical density: 8.9 g cm⁻³. The value obtained for the formation enthalpy at 0 K is 0.346 eV/atom.

It has space group Imm2 (No. 44), with a = 3.006 Å, b = 3.958 Å, c = 11.535 Å, α = 90.00°, β = 90.00° and γ = 90.00°. The asymmetric unit holds Re at (0.000, 0.000, 0.000), As at (0.000, 0.000, 0.560), As at (0.000, 0.500, 0.715) and P at (0.000, 0.500, 0.342).

---

Entry from Alexandria: a relaxed Si2TcHg crystal (GGA-PBEsol).

The formation energy from raw total energies is 8.8 kcal/mol of atoms. For the total energy, the calculation gives -43.59 eV/cell. As for the theoretical density: 9.7 g cm⁻³.

It has space group I4/mmm (No. 139), with a = 3.998 Å, b = 3.998 Å, c = 7.562 Å, α = 90.00°, β = 90.00° and γ = 90.00°. The asymmetric unit holds Si at (0.000, 0.500, 0.250), Tc at (0.000, 0.000, 0.000) and Hg at (0.000, 0.000, 0.500).

---

Entry from Alexandria: a relaxed La2GeRhI crystal (GGA-PBEsol).

The formation energy from raw total energies is -5.7 kcal/mol of atoms. For the total energy, the calculation gives -26.77 eV/cell. As for the theoretical density: 6.5 g cm⁻³.

It has space group P4/mmm (No. 123), with a = 5.446 Å, b = 5.446 Å, c = 5.002 Å, α = 90.00°, β = 90.00° and γ = 90.00°. The asymmetric unit holds La at (0.000, 0.500, 0.000), Ge at (0.000, 0.000, 0.500), Rh at (0.500, 0.500, 0.000) and I at (0.500, 0.500, 0.500).

---

Entry from Alexandria: a relaxed Ti2SnHAu crystal (GGA-PBEsol).

For the total energy, the calculation gives -21.77 eV/cell. As for the theoretical density: 5.4 g cm⁻³.

It has space group P4/mmm (No. 123), with a = 5.046 Å, b = 5.046 Å, c = 4.991 Å, α = 90.00°, β = 90.00° and γ = 90.00°. The asymmetric unit holds Ti at (0.000, 0.500, 0.000), Sn at (0.000, 0.000, 0.500), H at (0.500, 0.500, 0.500) and Au at (0.000, 0.000, 0.000).

---

Entry from Alexandria: a relaxed TeP2Cl crystal (GGA-PBEsol).

The excess energy over the best structure of this formula in the dataset is 0.10 eV per formula unit. The formation energy from raw total energies is 9.9 kcal/mol of atoms. For the total energy, the calculation gives -46.21 eV/cell. As for the theoretical density: 4.5 g cm⁻³.

It has space group R-3m (No. 166, hexagonal axes), with a = 3.8094 Å, b = 3.8094 Å, c = 20.0348 Å, α = 90.00°, β = 90.00° and γ = 120.00°. The asymmetric unit holds Te at (0.0000, 0.0000, 0.0000), P at (0.0000, 0.0000, 0.2542) and Cl at (0.0000, 0.0000, 0.5000).

---

Entry from Alexandria: a relaxed YFe2Ru crystal (GGA-PBEsol).

For the total energy, the calculation gives -33.83 eV/cell. As for the theoretical density: 8.3 g cm⁻³. The value obtained for the formation enthalpy at 0 K is 0.272 eV/atom.

It has space group Pmmm (No. 47), with a = 3.230 Å, b = 4.308 Å, c = 4.329 Å, α = 90.00°, β = 90.00° and γ = 90.00°. The asymmetric unit holds Y at (0.000, 0.000, 0.000), Fe at (0.000, 0.500, 0.500), Fe at (0.500, 0.000, 0.500) and Ru at (0.500, 0.500, 0.000).

---

Entry from Alexandria: a relaxed In2AgHg crystal (GGA-PBEsol).

For the total energy, the calculation gives -19.64 eV/cell. As for the theoretical density: 10.2 g cm⁻³. The value obtained for the formation enthalpy at 0 K is 0.006 eV/atom.

It has space group C2/m (No. 12), with a = 9.190 Å, b = 3.418 Å, c = 5.673 Å, α = 90.00°, β = 101.66° and γ = 90.00°. The asymmetric unit holds In at (0.244, 0.000, 0.234), Ag at (0.000, 0.500, 0.000) and Hg at (0.000, 0.000, 0.500).

---

Entry from Alexandria: a relaxed Ga3Pb crystal (GGA-PBEsol).

For the total energy, the calculation gives -54.44 eV/cell. As for the theoretical density: 8.0 g cm⁻³. The value obtained for the formation enthalpy at 0 K is 0.102 eV/atom.

It has space group Fm-3m (No. 225), with a = 7.023 Å, b = 7.023 Å, c = 7.023 Å, α = 90.00°, β = 90.00° and γ = 90.00°. The asymmetric unit holds Ga at (0.000, 0.000, 0.000), Ga at (0.250, 0.250, 0.250) and Pb at (0.000, 0.000, 0.500).

---

Which value of theoretical density does entry 6 give?
9.7 g cm⁻³

---

Among the records above, which one has the highest theoretical density?
In2AgHg